# 1
Here is a relaxed structure of BeHg from Alexandria. Energies are from PBE.

Geometry as extended XYZ:
```
4
Lattice="4.2876 0.0145 -0.0124 2.9012 3.1570 -0.0124 0.6382 0.2816 5.0135" Properties=species:S:1:pos:R:3 pbc="T T T"
Be 2.0025 0.8834 0.8878
Be 7.1431 3.1514 0.3345
Hg 5.8362 2.5748 4.0736
Hg 3.9475 1.7416 2.1622
```

Computed properties:
Raw total energy ... -6.1 eV for the cell shown
Space-group type ... C2/m
Magnetization ... 0.000 μB per formula unit

# 2
Here is a relaxed structure of HfZn2Ru from Alexandria. Energies are from PBE.

Geometry as extended XYZ:
```
8
Lattice="3.7507 0.0000 0.0000 0.0000 3.7507 0.0000 1.8754 1.8754 9.7992" Properties=species:S:1:pos:R:3 pbc="T T T"
Zn 2.7074 0.9377 2.4498
Zn 2.8130 2.9187 7.3494
Zn 4.6884 4.5827 7.3494
Zn 1.0433 2.8130 2.4498
Ru 1.8754 1.8754 0.0000
Ru 1.8754 3.7507 4.8996
Hf 0.0000 0.0000 0.0000
Hf 3.7507 1.8754 4.8996
```

Computed properties:
Raw total energy ... -43.5 eV for the cell shown
Space-group type ... I-42d
Magnetization ... 0.000 μB per formula unit

# 3
Here is a relaxed structure of Ta2W from Alexandria. Energies are from PBE.

Geometry as extended XYZ:
```
6
Lattice="3.2693 0.0000 0.0000 1.6347 6.8897 0.0000 0.0000 0.0000 4.6443" Properties=species:S:1:pos:R:3 pbc="T T T"
W 3.2693 1.9082 2.3222
W 3.2693 4.2160 0.0000
Ta 1.6347 1.9545 0.0000
Ta 1.6347 4.1697 2.3222
Ta 3.2693 6.5741 2.3222
Ta 1.6347 6.4398 0.0000
```

Computed properties:
Raw total energy ... -73.8 eV for the cell shown
Space-group type ... Cmcm
Magnetization ... 0.000 μB per formula unit

# 4
Here is a relaxed structure of Pa3Co7Si2 from Alexandria. Energies are from PBE.

Geometry as extended XYZ:
```
12
Lattice="4.3036 0.0000 0.0000 0.0000 4.1745 0.0000 0.0000 -2.0872 9.9063" Properties=species:S:1:pos:R:3 pbc="T T T"
Co 0.0000 0.0000 0.0000
Co 0.0000 2.0872 1.7502
Co 0.0000 2.0872 4.4344
Co 2.1518 2.0872 8.1248
Co 2.1518 0.0000 1.7814
Co 0.0000 0.0000 5.4719
Co 0.0000 0.0000 8.1561
Si 0.0000 0.0000 2.9086
Si 0.0000 2.0872 6.9977
Pa 2.1518 2.0872 3.4872
Pa 2.1518 2.0872 0.0000
Pa 2.1518 0.0000 6.4190
```

Computed properties:
Raw total energy ... -93.5 eV for the cell shown
Space-group type ... Cmmm
Magnetization ... 0.000 μB per formula unit
E_form (uncorrected) ... -4.40 eV/f.u.

# 5
Here is a relaxed structure of Pr3GeRh3 from Alexandria. Energies are from PBE.

Geometry as extended XYZ:
```
14
Lattice="-5.6040 -1.0845 0.9579 -3.3806 -4.5478 1.1783 -2.1479 -0.4317 14.8895" Properties=species:S:1:pos:R:3 pbc="T T T"
Rh -8.0574 -4.9822 2.9972
Rh -2.4607 -1.1141 7.3204
Rh -3.0751 -1.0817 14.0285
Rh -1.9251 -0.5060 11.4725
Rh -9.2074 -5.5579 5.5533
Rh -8.6718 -4.9499 9.7054
Ge -3.4318 -1.5905 9.6313
Ge -7.7007 -4.4735 7.3944
Pr -8.3098 -4.4966 13.1785
Pr -2.8227 -1.5674 3.8473
Pr -5.1465 -2.8783 6.6931
Pr -5.6037 -3.4454 2.3925
Pr -5.5288 -2.6186 14.6332
Pr -5.9860 -3.1857 10.3327
```

Computed properties:
Raw total energy ... -92.2 eV for the cell shown
Space-group type ... C2/m
Magnetization ... 0.000 μB per formula unit

# 6
Here is a relaxed structure of Mg24Zr5 from Alexandria. Energies are from PBE.

Geometry as extended XYZ:
```
29
Lattice="-1.6951 -0.9139 9.2570 -8.0976 -0.9241 -4.7932 6.0811 -6.6910 -2.7662" Properties=species:S:1:pos:R:3 pbc="T T T"
Mg 0.5229 -1.6012 2.8946
Mg -1.7203 -4.8920 -1.8840
Mg -6.8469 -2.6968 3.1220
Mg -1.8344 -3.0446 4.1697
Mg 0.7152 -2.6444 -1.9265
Mg 2.0980 -6.3349 4.4008
Mg 0.2958 -4.8887 2.5403
Mg 1.2267 -3.2535 5.2558
Mg -4.3411 -0.9890 4.4598
Mg 3.5006 -4.9429 1.7399
Mg -1.9412 -6.3414 -4.4630
Mg 1.9245 -2.6425 0.7274
Mg -1.1929 -6.6445 0.5485
Mg 1.2192 -5.3131 -0.5517
Mg -3.1598 -3.2606 -4.3701
Mg 0.9864 -4.9469 -3.7774
Mg -3.8710 -5.5552 0.1656
Mg -4.1690 -3.0728 1.9020
Mg -3.3093 -0.5137 -0.0208
Mg -4.3486 -3.0486 -1.3477
Mg -6.2134 -0.9920 0.3512
Mg -2.1552 -0.5119 2.5117
Mg -1.8405 -1.6049 -2.2918
Mg -2.6617 -5.5533 2.8195
Zr 0.0000 0.0000 0.0000
Zr -1.0826 -0.5836 5.9121
Zr 3.8837 -4.2732 -1.7667
Zr -1.3412 -3.0819 0.6134
Zr -5.1716 -0.5902 -3.0612
```

Computed properties:
Raw total energy ... -79.5 eV for the cell shown
Space-group type ... I-43m
Magnetization ... 2.719 μB per formula unit